[1]
# CrCo3Ge

A geometry-optimized CrCo3Ge structure (GGA-PBE, the Alexandria database).

Values from the calculation:
- Formation energy: 1.131 eV per atom
- Uncorrected energy: -5.981 eV/atom
- Magnetization: 1.33 μB/f.u.

```
CrCo3Ge
1.0
4.192 0.000 0.000
0.000 4.192 0.000
0.000 0.000 4.192
Cr Co Ge
1 3 1
Direct
0.000 0.000 0.000 Cr
0.000 0.000 0.500 Co
0.000 0.500 0.000 Co
0.500 0.000 0.000 Co
0.500 0.500 0.500 Ge
```



[2]
# Ca4NO2

A geometry-optimized Ca4NO2 structure (GGA-PBE, the Alexandria database).

Values from the calculation:
- Uncorrected energy: -5.544 eV/atom
- ΔE to the lowest computed polymorph: 0.00 eV/f.u.
- E_form (uncorrected): -1.79 eV/atom
- Magnetization: 0.89 μB/f.u.

```
Ca4NO2
1.0
1.716 -5.718 0.000
1.716 5.718 0.000
0.000 0.000 11.910
Ca N O
8 2 4
Direct
0.000 0.000 0.000 Ca
0.000 0.000 0.500 Ca
0.267 0.733 0.623 Ca
0.267 0.733 0.877 Ca
0.475 0.525 0.250 Ca
0.525 0.475 0.750 Ca
0.733 0.267 0.123 Ca
0.733 0.267 0.377 Ca
0.126 0.874 0.250 N
0.874 0.126 0.750 N
0.369 0.631 0.050 O
0.369 0.631 0.450 O
0.631 0.369 0.550 O
0.631 0.369 0.950 O
```



[3]
# Rb3DyAg2Br8

A geometry-optimized Rb3DyAg2Br8 structure (GGA-PBE, the Alexandria database).

Values from the calculation:
- Uncorrected energy: -3.243 eV/atom
- E_form (uncorrected): -1.34 eV/atom
- Magnetization: 0.00 μB/f.u.

```
Rb3DyAg2Br8
1.0
7.868 0.000 0.000
-3.934 6.814 0.000
0.000 0.000 10.258
Rb Dy Ag Br
3 1 2 8
Direct
0.000 0.000 0.000 Rb
0.333 0.667 0.616 Rb
0.667 0.333 0.384 Rb
0.000 0.000 0.500 Dy
0.333 0.667 0.181 Ag
0.667 0.333 0.819 Ag
0.165 0.329 0.338 Br
0.165 0.835 0.338 Br
0.329 0.165 0.662 Br
0.333 0.667 0.935 Br
0.667 0.333 0.065 Br
0.671 0.835 0.338 Br
0.835 0.165 0.662 Br
0.835 0.671 0.662 Br
```



[4]
# Mg4GaSn

A geometry-optimized Mg4GaSn structure (GGA-PBE, the Alexandria database).

Values from the calculation:
- Formation energy: -0.099 eV per atom
- Uncorrected energy: -2.333 eV/atom
- ΔE to the lowest computed polymorph: 0.20 eV/f.u.
- Magnetization: 0.00 μB/f.u.

```
Mg4GaSn
1.0
4.969 -2.155 0.000
4.969 2.155 0.000
-2.062 0.000 6.152
Mg Ga Sn
4 1 1
Direct
0.162 0.162 0.324 Mg
0.164 0.164 0.840 Mg
0.836 0.836 0.160 Mg
0.838 0.838 0.676 Mg
0.500 0.500 0.000 Ga
0.500 0.500 0.500 Sn
```



[5]
# Rb2Er2PaTe6

A geometry-optimized Rb2Er2PaTe6 structure (GGA-PBE, the Alexandria database).

Values from the calculation:
- Uncorrected energy: -4.811 eV/atom
- E_form (uncorrected): -1.23 eV/atom
- Magnetization: 1.04 μB/f.u.

```
Rb2Er2PaTe6
1.0
3.837 -6.646 0.000
3.837 6.646 0.000
-2.566 0.000 8.804
Rb Er Pa Te
2 2 1 6
Direct
0.166 0.834 0.000 Rb
0.834 0.166 0.000 Rb
0.333 0.667 0.500 Er
0.667 0.333 0.500 Er
0.000 0.000 0.500 Pa
0.068 0.400 0.697 Te
0.271 0.271 0.304 Te
0.400 0.068 0.697 Te
0.600 0.932 0.303 Te
0.729 0.729 0.696 Te
0.932 0.600 0.303 Te
```



[6]
# HfAsIr3

A geometry-optimized HfAsIr3 structure (GGA-PBE, the Alexandria database).

Values from the calculation:
- Formation energy: 0.575 eV per atom
- Uncorrected energy: -7.663 eV/atom
- ΔE to the lowest computed polymorph: 0.00 eV/f.u.
- Magnetization: 0.00 μB/f.u.

```
HfAsIr3
1.0
4.559 0.000 0.000
0.000 4.559 0.000
0.000 0.000 4.559
Hf As Ir
1 1 3
Direct
0.000 0.000 0.000 Hf
0.500 0.500 0.500 As
0.000 0.500 0.500 Ir
0.500 0.000 0.500 Ir
0.500 0.500 0.000 Ir
```



[7]
# Rb3ErSe3

A geometry-optimized Rb3ErSe3 structure (GGA-PBE, the Alexandria database).

Values from the calculation:
- Uncorrected energy: -3.969 eV/atom
- E_form (uncorrected): -1.41 eV/atom
- Magnetization: 0.00 μB/f.u.

```
Rb3ErSe3
1.0
4.739 -7.328 0.000
4.739 7.328 0.000
-1.541 0.000 8.328
Rb Er Se
6 2 6
Direct
0.181 0.819 0.000 Rb
0.250 0.750 0.500 Rb
0.384 0.384 0.137 Rb
0.616 0.616 0.863 Rb
0.750 0.250 0.500 Rb
0.819 0.181 0.000 Rb
0.177 0.177 0.642 Er
0.823 0.823 0.358 Er
0.101 0.101 0.312 Se
0.161 0.458 0.775 Se
0.458 0.161 0.775 Se
0.542 0.839 0.225 Se
0.839 0.542 0.225 Se
0.899 0.899 0.688 Se
```



[8]
# Li4BeAu

A geometry-optimized Li4BeAu structure (GGA-PBE, the Alexandria database).

Values from the calculation:
- Formation energy: 0.072 eV per atom
- Uncorrected energy: -2.371 eV/atom
- Magnetization: 0.00 μB/f.u.

```
Li4BeAu
1.0
0.000 3.413 3.413
3.413 0.000 3.413
3.413 3.413 0.000
Li Be Au
4 1 1
Direct
0.124 0.124 0.124 Li
0.124 0.124 0.627 Li
0.124 0.627 0.124 Li
0.627 0.124 0.124 Li
0.500 0.500 0.500 Be
0.750 0.750 0.750 Au
```